1.
Entry from the Alexandria database: a relaxed PPtPbS2 crystal (PBE).

```
data_PPtPbS2
_cell_length_a 5.095
_cell_length_b 5.095
_cell_length_c 5.212
_cell_angle_alpha 90.00
_cell_angle_beta 90.00
_cell_angle_gamma 90.00
_space_group_name_H-M_alt 'P 4/m m m'
_space_group_IT_number 123
_space_group_name_Hall '-P 4 2'
loop_
_atom_site_label
_atom_site_fract_x
_atom_site_fract_y
_atom_site_fract_z
_atom_site_occupancy
P1 0.000 0.000 0.000 1
Pt1 0.500 0.500 0.000 1
Pb1 0.000 0.000 0.500 1
S1 0.000 0.500 0.500 1
```

Final energy, eV/atom: -3.16

2.
Entry from the Alexandria database: a relaxed BaNaCa2Co crystal (PBE).

```
data_BaNaCa2Co
_cell_length_a 5.610
_cell_length_b 5.610
_cell_length_c 5.915
_cell_angle_alpha 90.00
_cell_angle_beta 90.00
_cell_angle_gamma 90.00
_space_group_name_H-M_alt 'P 4/m m m'
_space_group_IT_number 123
_space_group_name_Hall '-P 4 2'
loop_
_atom_site_label
_atom_site_fract_x
_atom_site_fract_y
_atom_site_fract_z
_atom_site_occupancy
Ba1 0.000 0.000 0.000 1
Na1 0.500 0.500 0.000 1
Ca1 0.000 0.500 0.500 1
Co1 0.000 0.000 0.500 1
```

Energy relative to the elements, eV/atom: 0.173

3.
Entry from the Alexandria database: a relaxed PrBi2Au9 crystal (PBE).

```
data_PrBi2Au9
_cell_length_a 5.6477
_cell_length_b 5.6477
_cell_length_c 28.4188
_cell_angle_alpha 90.00
_cell_angle_beta 90.00
_cell_angle_gamma 120.00
_space_group_name_H-M_alt 'R -3 m'
_space_group_IT_number 166
_space_group_name_Hall '-R 3 2"'
loop_
_atom_site_label
_atom_site_fract_x
_atom_site_fract_y
_atom_site_fract_z
_atom_site_occupancy
Pr1 0.0000 0.0000 0.0000 1
Bi1 0.0000 0.0000 0.1465 1
Au1 0.0000 0.0000 0.3331 1
Au2 0.0000 0.0000 0.5000 1
Au3 0.0021 0.5011 0.9172 1
```

Energy relative to the elements, eV/atom: -0.232

4.
Entry from the Alexandria database: a relaxed KRb2SnSe4 crystal (PBE).

```
data_KRb2SnSe4
_cell_length_a 8.379
_cell_length_b 8.379
_cell_length_c 8.186
_cell_angle_alpha 90.00
_cell_angle_beta 90.00
_cell_angle_gamma 90.00
_space_group_name_H-M_alt 'I -4 2 m'
_space_group_IT_number 121
_space_group_name_Hall 'I -4 2'
loop_
_atom_site_label
_atom_site_fract_x
_atom_site_fract_y
_atom_site_fract_z
_atom_site_occupancy
K1 0.000 0.000 0.000 1
Rb1 0.000 0.500 0.000 1
Sn1 0.000 0.000 0.500 1
Se1 0.175 0.175 0.686 1
```

Final energy, eV/atom: -3.44

5.
Entry from the Alexandria database: a relaxed TbSN crystal (PBE).

```
data_TbSN
_cell_length_a 4.455
_cell_length_b 3.876
_cell_length_c 6.398
_cell_angle_alpha 90.00
_cell_angle_beta 101.44
_cell_angle_gamma 90.00
_space_group_name_H-M_alt 'P 1 21/m 1'
_space_group_IT_number 11
loop_
_space_group_symop_operation_xyz
'x,y,z'
'-x,-y,-z'
'-x,y+1/2,-z'
'x,-y+1/2,z'
loop_
_atom_site_label
_atom_site_fract_x
_atom_site_fract_y
_atom_site_fract_z
_atom_site_occupancy
Tb1 0.106 0.250 0.228 1
S1 0.369 0.250 0.686 1
N1 0.160 0.250 0.887 1
```

Final energy, eV/atom: -6.84

6.
Entry from the Alexandria database: a relaxed KSn2Hg crystal (PBE).

```
data_KSn2Hg
_cell_length_a 4.8989
_cell_length_b 4.8989
_cell_length_c 19.8423
_cell_angle_alpha 90.00
_cell_angle_beta 90.00
_cell_angle_gamma 120.00
_space_group_name_H-M_alt 'R -3 m'
_space_group_IT_number 166
_space_group_name_Hall '-R 3 2"'
loop_
_atom_site_label
_atom_site_fract_x
_atom_site_fract_y
_atom_site_fract_z
_atom_site_occupancy
K1 0.0000 0.0000 0.0000 1
Sn1 0.0000 0.0000 0.2153 1
Hg1 0.0000 0.0000 0.5000 1
```

Energy relative to the elements, eV/atom: -0.057

no.,magnetic moment (μB per atom)
1,0.361
2,0.045
3,0.000
4,0.129
5,0.000
6,0.000